Entry 1:
First-principles (PBE-GGA) data for a relaxed structure of CaRe2Pt, as listed in the Alexandria database.

a b c (Å): 5.433 9.296 2.680
angles (deg): 90.00 90.00 90.00
Space group Cmmm (No. 65)
Inequivalent atoms, fractional coordinates:
Ca 0.000 0.000 0.000 x2
Re 0.250 0.250 0.500 x4
Pt 0.000 0.500 0.000 x2

## Properties
Energy relative to the lowest polymorph listed for this composition ... 384.6 meV per atom
ΔH_f (0 K) ... 10.930 kcal/mol of atoms
Total magnetic moment ... 0.00 μB/f.u.

***

Entry 2:
First-principles (PBE-GGA) data for a relaxed structure of Dy3Ga2Ag4, as listed in the Alexandria database.

a b c (Å): 10.696 4.619 8.789
angles (deg): 90.00 116.04 90.00
Space group C2/m (No. 12)
Inequivalent atoms, fractional coordinates:
Dy 0.000 0.000 0.000 x2
Dy 0.158 0.500 0.673 x4
Ga 0.123 0.500 0.293 x4
Ag 0.075 0.000 0.402 x4
Ag 0.213 0.500 0.057 x4

## Properties
ΔH_f (0 K) ... -9.085 kcal/mol of atoms
Total magnetic moment ... 0.00 μB/f.u.

***

Entry 3:
First-principles (PBE-GGA) data for a relaxed structure of Tb3Tl3Ag2, as listed in the Alexandria database.

a b c (Å): 4.699 11.281 15.623
angles (deg): 90.00 90.00 90.00
Space group Cmcm (No. 63)
Inequivalent atoms, fractional coordinates:
Tb 0.000 0.083 0.108 x8
Tb 0.000 0.343 0.250 x4
Tl 0.000 0.378 0.750 x4
Tl 0.000 0.379 0.039 x8
Ag 0.000 0.209 0.612 x8

## Properties
Energy relative to the lowest polymorph listed for this composition ... 37.3 meV per atom
ΔH_f (0 K) ... -5.899 kcal/mol of atoms
Total magnetic moment ... 0.00 μB/f.u.